Material: Pr6Ge3SeS2
Method: DFT, PBE-GGA
State: relaxed

Results
E_form (uncorrected) = -1641.8 kJ/mol of formula units
crystal system = monoclinic
size of the total moment = 0.000 μB per atom

Lattice parameters (Å, degrees): 18.603 4.268 8.541 90.00 103.62 90.00
Space group C2/m (No. 12)
Asymmetric unit:
Pr 0.001 0.000 0.256 x4
Pr 0.167 0.500 0.583 x4
Pr 0.169 0.500 0.085 x4
Ge 0.000 0.500 0.500 x2
Ge 0.166 0.000 0.832 x4
Se 0.000 0.500 0.000 x2
S 0.167 0.000 0.334 x4